Entry 1:
VASP calculation (PBE-GGA) on a relaxed structure of BeZnRu2.

extended XYZ file:
```
4
Lattice="-1.5740 1.6931 -4.2827 0.2772 -4.8540 0.2185 -2.5357 -0.7418 -0.0362" Properties=species:S:1:pos:R:3 pbc="T T T"
Ru 0.0000 0.0000 0.0000
Ru -0.6484 -1.5804 -2.0321
Zn -2.0548 0.4756 -2.1595
Be -1.1292 -2.7979 0.0912
```

- magnetization (μB per atom) = 0.001
- E_form (eV per atom) = 0.155
- calculated volume (Å³ per atom) = 13.035
- E_tot (eV for the cell shown) = -22.93

Entry 2:
VASP calculation (PBE-GGA) on a relaxed structure of LaGa8Pt2.

extended XYZ file:
```
11
Lattice="5.7315 0.0000 0.0000 0.0000 5.7315 0.0000 0.0000 0.0000 8.2276" Properties=species:S:1:pos:R:3 pbc="T T T"
La 2.8657 2.8657 4.1138
Ga 4.3134 4.3134 1.6482
Ga 4.3134 1.4181 6.5794
Ga 4.3134 4.3134 6.5794
Ga 4.3134 1.4181 1.6482
Ga 1.4181 4.3134 1.6482
Ga 1.4181 4.3134 6.5794
Ga 1.4181 1.4181 1.6482
Ga 1.4181 1.4181 6.5794
Pt 2.8657 0.0000 0.0000
Pt 0.0000 2.8657 0.0000
```

- magnetization (μB per atom) = 0.000
- E_form (eV per atom) = -0.198
- calculated volume (Å³ per atom) = 24.570
- E_tot (eV for the cell shown) = -43.40

Entry 3:
VASP calculation (PBE-GGA) on a relaxed structure of Pr5Ga2O2.

extended XYZ file:
```
18
Lattice="-0.4342 -2.7570 -6.3155 5.8244 -3.7495 1.2363 -8.0276 -3.8823 6.0212" Properties=species:S:1:pos:R:3 pbc="T T T"
Pr 3.8550 -5.2411 -3.6378
Pr -3.4688 -7.0941 5.2216
Pr 0.9427 -3.3671 -4.2576
Pr -6.3809 -5.2187 4.6051
Pr -1.0706 -8.1724 0.6468
Pr -1.4607 -2.2846 0.3177
Pr -3.8554 -5.4890 1.8812
Pr 1.3241 -4.9681 -0.9167
Pr -4.3913 -4.7337 -3.2908
Pr -1.0451 -3.8532 3.6387
Ga -4.1287 -6.8197 -0.8302
Ga 1.6082 -3.6443 1.7970
Ga -0.9629 -7.0846 3.4757
Ga -1.5576 -3.3794 -2.5088
O 0.0550 -0.0354 0.0117
O 2.7501 -3.2886 -2.5279
O 0.0791 -6.8841 -0.8512
O -2.6072 -3.5750 1.8164
```

- formation energy without anion corrections (eV/atom) = -1.4076
- magnetization (μB per atom) = 0.000
- calculated volume (Å³ per atom) = 25.815
- E_tot (eV for the cell shown) = -105.07

Entry 4:
VASP calculation (PBE-GGA) on a relaxed structure of PrDy3Se6.

extended XYZ file:
```
20
Lattice="-3.9101 1.1774 -0.7602 -0.0020 -6.3165 -9.7721 -3.8047 -6.7993 9.0386" Properties=species:S:1:pos:R:3 pbc="T T T"
Pr -5.5785 -4.1458 5.2505
Pr -2.1383 -7.7927 -6.7443
Dy -6.1040 -7.5550 2.6738
Dy -1.6127 -4.3835 -4.1676
Dy -4.8383 -6.8200 -2.6976
Dy -2.8784 -5.1185 1.2039
Dy -3.2597 -0.7069 -1.3499
Dy -4.4571 -11.2316 -0.1439
Se -5.2693 -6.3261 0.2837
Se -2.4475 -5.6124 -1.7775
Se -3.2938 -5.5468 -8.6699
Se -4.4229 -6.3917 7.1761
Se -3.1579 -2.0045 -3.8829
Se -4.5588 -9.9340 2.3892
Se -3.9738 -5.6376 -5.3133
Se -3.7430 -6.3008 3.8196
Se -4.7031 -3.0239 2.4858
Se -3.0136 -8.9145 -3.9796
Se -5.7871 -9.2889 -1.6414
Se -1.9296 -2.6495 0.1477
```

- formation energy without anion corrections (eV/atom) = -1.8932
- magnetization (μB per atom) = 0.000
- calculated volume (Å³ per atom) = 27.254
- E_tot (eV for the cell shown) = -116.85

Entry 5:
VASP calculation (PBE-GGA) on a relaxed structure of UPa2Sb.

extended XYZ file:
```
4
Lattice="5.1721 0.0000 0.0000 2.5861 4.4792 0.0000 2.5861 1.4931 4.2230" Properties=species:S:1:pos:R:3 pbc="T T T"
Sb 5.1721 2.9861 2.1115
Pa 2.5861 1.4931 1.0558
Pa 7.7582 4.4792 3.1673
U 0.0000 0.0000 0.0000
```

- formation energy without anion corrections (eV/atom) = 0.0739
- magnetization (μB per atom) = 0.985
- calculated volume (Å³ per atom) = 24.458
- excess energy over the best structure of this formula in the dataset (eV/atom) = 0.3273
- E_tot (eV for the cell shown) = -34.11

Entry 6:
VASP calculation (PBE-GGA) on a relaxed structure of LiY2Fe.

extended XYZ file:
```
4
Lattice="-5.2592 0.2414 2.2699 -3.7039 -2.3790 3.6730 0.3724 2.6107 4.4631" Properties=species:S:1:pos:R:3 pbc="T T T"
Fe -4.1350 0.1706 4.9020
Li -6.7879 0.2804 8.0477
Y 0.2421 2.4891 4.3804
Y -1.8327 0.3803 2.7417
```

- magnetization (μB per atom) = 0.451
- E_form (eV per atom) = 0.226
- calculated volume (Å³ per atom) = 22.664
- E_tot (eV for the cell shown) = -22.40

Entry 7:
VASP calculation (PBE-GGA) on a relaxed structure of DyTl2As2O6.

extended XYZ file:
```
11
Lattice="6.0339 0.0000 0.0000 -3.0170 4.9778 -0.2138 0.0000 -3.0339 6.8208" Properties=species:S:1:pos:R:3 pbc="T T T"
Dy 3.0170 -1.5170 3.4104
Tl 3.0170 1.5478 1.2182
Tl 0.0000 0.3960 5.3889
As 3.0170 2.0034 5.0732
As 0.0000 -0.0595 1.5338
O 3.0170 0.7210 3.8571
O -1.6440 3.8555 1.6670
O 1.3730 -1.9116 4.9400
O 4.6610 -1.9116 4.9400
O 1.6440 3.8555 1.6670
O 0.0000 1.2229 2.7499
```

- formation energy without anion corrections (eV/atom) = -1.6026
- magnetization (μB per atom) = 0.000
- calculated volume (Å³ per atom) = 18.268
- E_tot (eV for the cell shown) = -66.01

Entry 8:
VASP calculation (PBE-GGA) on a relaxed structure of HfAl2Si.

extended XYZ file:
```
4
Lattice="-0.1897 -4.2259 -0.4002 1.8859 -2.4934 2.8777 -3.2527 -2.3003 3.2755" Properties=species:S:1:pos:R:3 pbc="T T T"
Si 0.0000 0.0000 0.0000
Hf -0.7783 -4.5098 2.8765
Al -1.5301 -6.7704 4.5474
Al -0.0265 -2.2491 1.2056
```

- formation energy without anion corrections (eV/atom) = 0.0744
- magnetization (μB per atom) = 0.000
- calculated volume (Å³ per atom) = 17.734
- E_tot (eV for the cell shown) = -22.56

Entry 9:
VASP calculation (PBE-GGA) on a relaxed structure of PuGaCoOs.

extended XYZ file:
```
4
Lattice="4.5028 0.0000 0.0000 2.2514 3.8996 0.0000 2.2514 1.2999 3.6766" Properties=species:S:1:pos:R:3 pbc="T T T"
Co 2.2514 1.2999 0.9191
Os 6.7543 3.8996 2.7574
Ga 4.5028 2.5997 1.8383
Pu 0.0000 0.0000 0.0000
```

- magnetization (μB per atom) = 0.814
- E_form (eV per atom) = -0.052
- calculated volume (Å³ per atom) = 16.139
- E_tot (eV for the cell shown) = -35.90

Entry 10:
VASP calculation (PBE-GGA) on a relaxed structure of CeNd2YHo.

extended XYZ file:
```
10
Lattice="7.6595 0.0000 0.0000 0.0000 7.1871 1.2898 0.0000 -1.0563 5.8859" Properties=species:S:1:pos:R:3 pbc="T T T"
Ce 0.0000 0.0000 0.0000
Ce 0.0000 -0.5282 2.9430
Nd 5.2474 4.3402 5.3355
Nd 5.2474 1.2624 4.7831
Nd 2.4121 4.8684 2.3926
Nd 2.4121 1.7906 1.8401
Y 4.7627 -0.2641 1.4715
Y 2.8969 -0.7922 4.4144
Ho 1.0416 2.8013 5.0593
Ho 6.6180 3.3295 2.1164
```

- magnetization (μB per atom) = 0.262
- E_form (eV per atom) = 0.285
- calculated volume (Å³ per atom) = 33.445
- E_tot (eV for the cell shown) = -50.18

Entry 11:
VASP calculation (PBE-GGA) on a relaxed structure of RbLa2Nb.

extended XYZ file:
```
8
Lattice="-1.6965 -2.5875 8.1096 8.4958 0.0022 1.7780 3.1025 3.3332 6.3576" Properties=species:S:1:pos:R:3 pbc="T T T"
Nb 0.0000 0.0000 0.0000
Nb 2.4029 -0.2734 9.7055
Rb 3.3996 -1.2926 4.9438
Rb 7.4990 1.0214 6.5397
La 0.5108 -1.1901 8.1542
La 4.4435 -1.6697 10.5499
La 3.5420 1.5301 8.1967
La 1.1152 0.2360 11.9212
```

- magnetization (μB per atom) = 0.000
- E_form (eV per atom) = 0.784
- calculated volume (Å³ per atom) = 45.638
- excess energy over the best structure of this formula in the dataset (eV/atom) = 0.0000
- E_tot (eV for the cell shown) = -35.51

Entry 12:
VASP calculation (PBE-GGA) on a relaxed structure of YGaSeBr2.

extended XYZ file:
```
5
Lattice="5.1607 0.0000 0.0000 0.0000 5.1607 0.0000 0.0000 0.0000 5.1600" Properties=species:S:1:pos:R:3 pbc="T T T"
Y 2.5803 2.5803 2.5800
Ga 0.0000 0.0000 0.0000
Se 0.0000 0.0000 2.5800
Br 0.0000 2.5803 0.0000
Br 2.5803 0.0000 0.0000
```

- formation energy without anion corrections (eV/atom) = -0.4673
- magnetization (μB per atom) = 0.129
- calculated volume (Å³ per atom) = 27.485
- excess energy over the best structure of this formula in the dataset (eV/atom) = 0.6488
- E_tot (eV for the cell shown) = -18.66

Entry 13:
VASP calculation (PBE-GGA) on a relaxed structure of Na2TiSiO4.

extended XYZ file:
```
8
Lattice="5.1740 0.1636 0.2506 -2.0566 4.7505 -0.2506 -2.0566 -2.1412 4.2480" Properties=species:S:1:pos:R:3 pbc="T T T"
Na 0.5304 3.1094 0.9993
Na 0.0000 0.0000 0.0000
Ti 0.5304 -0.3365 3.2486
Si -2.0566 1.3046 1.9987
O 1.4888 1.1685 2.3926
O -1.1348 -0.0614 2.2154
O 3.5401 1.9814 0.7259
O -1.7725 2.4573 3.1620
```

- formation energy without anion corrections (eV/atom) = -2.1825
- magnetization (μB per atom) = 0.000
- calculated volume (Å³ per atom) = 13.337
- E_tot (eV for the cell shown) = -53.25

Entry 14:
VASP calculation (PBE-GGA) on a relaxed structure of PrGa2CuNi.

extended XYZ file:
```
5
Lattice="4.2472 0.0000 0.0000 0.0000 4.2472 0.0000 -2.1236 -2.1236 4.9865" Properties=species:S:1:pos:R:3 pbc="T T T"
Pr 0.0000 0.0000 0.0000
Ga 2.1236 2.1236 1.3100
Ga 0.0000 0.0000 3.6765
Cu 2.1236 0.0000 2.4932
Ni 0.0000 2.1236 2.4932
```

- magnetization (μB per atom) = 0.000
- E_form (eV per atom) = -0.464
- calculated volume (Å³ per atom) = 17.990
- E_tot (eV for the cell shown) = -23.03

Entry 15:
VASP calculation (PBE-GGA) on a relaxed structure of Zr6Tl3V.

extended XYZ file:
```
10
Lattice="7.8564 -1.3710 -0.9685 2.6242 5.4363 0.4059 2.6242 2.1993 4.9881" Properties=species:S:1:pos:R:3 pbc="T T T"
Zr 4.3128 1.4265 2.7013
Zr 8.7920 3.2419 3.9837
Zr 8.7920 4.8381 1.7242
Zr 4.3128 3.0227 0.4417
Zr 3.9499 4.6289 3.2700
Zr 9.1549 1.6357 1.1555
Tl 3.0540 0.3803 0.2686
Tl 10.0507 5.8843 4.1568
Tl 0.0000 0.0000 0.0000
V 6.5524 3.1323 2.2127
```

- magnetization (μB per atom) = 0.154
- E_form (eV per atom) = 0.189
- calculated volume (Å³ per atom) = 23.074
- E_tot (eV for the cell shown) = -65.61

Entry 16:
VASP calculation (PBE-GGA) on a relaxed structure of RhC3O.

extended XYZ file:
```
5
Lattice="3.9158 0.0000 0.0000 0.0000 3.9158 0.0000 0.0000 0.0000 3.9158" Properties=species:S:1:pos:R:3 pbc="T T T"
C 0.0000 1.9579 0.0000
C 0.0000 0.0000 1.9579
C 1.9579 0.0000 0.0000
Rh 0.0000 0.0000 0.0000
O 1.9579 1.9579 1.9579
```

- formation energy without anion corrections (eV/atom) = 2.5720
- magnetization (μB per atom) = 0.187
- calculated volume (Å³ per atom) = 12.008
- excess energy over the best structure of this formula in the dataset (eV/atom) = 0.0000
- E_tot (eV for the cell shown) = -27.12

Entry 17:
VASP calculation (PBE-GGA) on a relaxed structure of ZrScTc.

extended XYZ file:
```
12
Lattice="5.8702 0.0000 -0.0032 0.0000 4.6729 0.0000 -5.6551 0.0000 8.5041" Properties=species:S:1:pos:R:3 pbc="T T T"
Zr -1.5361 0.0000 5.7105
Zr 1.2915 2.3364 1.4585
Zr -5.3763 0.0000 8.1237
Zr -2.5487 2.3364 3.8716
Sc -0.6706 0.0000 2.6740
Sc -3.4981 2.3364 6.9260
Sc 3.2080 0.0000 0.2541
Sc 0.3805 2.3364 4.5062
Tc 2.2286 0.0000 2.9442
Tc -0.5990 2.3364 7.1963
Tc 1.4907 0.0000 5.4339
Tc 4.3183 2.3364 1.1818
```

- magnetization (μB per atom) = 0.000
- E_form (eV per atom) = -0.199
- calculated volume (Å³ per atom) = 19.433
- excess energy over the best structure of this formula in the dataset (eV/atom) = 0.0289
- E_tot (eV for the cell shown) = -103.38

Entry 18:
VASP calculation (PBE-GGA) on a relaxed structure of BaNaSr2Cu.

extended XYZ file:
```
5
Lattice="6.0908 0.0000 0.0000 0.0000 6.0908 0.0000 0.0000 0.0000 6.0126" Properties=species:S:1:pos:R:3 pbc="T T T"
Sr 0.0000 3.0454 0.0000
Sr 3.0454 0.0000 0.0000
Ba 3.0454 3.0454 3.0063
Cu 0.0000 0.0000 0.0000
Na 0.0000 0.0000 3.0063
```

- magnetization (μB per atom) = 0.000
- E_form (eV per atom) = 0.089
- calculated volume (Å³ per atom) = 44.611
- excess energy over the best structure of this formula in the dataset (eV/atom) = 0.0893
- E_tot (eV for the cell shown) = -10.26

Entry 19:
VASP calculation (PBE-GGA) on a relaxed structure of TcNi2S.

extended XYZ file:
```
16
Lattice="-4.6360 6.2096 1.5184 0.5123 -0.3149 2.8519 10.9890 -0.0936 -1.9844" Properties=species:S:1:pos:R:3 pbc="T T T"
Ni 1.7206 0.1389 -0.2938
Ni 4.6324 5.9771 -0.1722
Ni 7.4713 -0.0654 0.1400
Ni -0.6060 5.8665 2.2459
Ni 3.4822 1.8737 -0.4187
Ni 2.8708 4.2423 -0.0473
Ni 9.2329 1.6695 0.0151
Ni -2.3676 4.1317 2.3708
S 6.5348 4.6286 -0.6629
S -0.1818 1.4874 0.1969
S 1.2965 4.5180 1.7553
S 5.5688 1.2831 0.6306
Tc -0.5809 3.7645 0.5200
Tc 6.9339 2.3515 -0.9860
Tc 5.1698 3.5603 0.9537
Tc 1.6955 2.2408 1.4322
```

- formation energy without anion corrections (eV/atom) = -0.0611
- magnetization (μB per atom) = 0.000
- calculated volume (Å³ per atom) = 12.623
- E_tot (eV for the cell shown) = -105.20

Entry 20:
VASP calculation (PBE-GGA) on a relaxed structure of Cs2Tb2PuS6.

extended XYZ file:
```
11
Lattice="7.0106 -0.0182 0.0521 -3.4809 6.0854 0.0521 -1.2686 -2.1805 8.2145" Properties=species:S:1:pos:R:3 pbc="T T T"
Cs 5.2370 1.0135 0.0521
Cs -1.7073 5.0536 0.0521
Tb -0.6158 2.9593 4.1593
Tb 2.8770 0.9273 4.1593
Pu -0.6343 -1.0903 4.1072
S 1.7400 2.9908 5.6318
S -1.7875 0.8735 5.5814
S 0.5211 0.8958 2.6868
S 1.6428 -1.1222 5.5814
S 4.0486 3.0131 2.7373
S 0.6183 5.0088 2.7373
```

- formation energy without anion corrections (eV/atom) = -1.7402
- magnetization (μB per atom) = 0.364
- calculated volume (Å³ per atom) = 31.956
- E_tot (eV for the cell shown) = -69.21

Entry 21:
VASP calculation (PBE-GGA) on a relaxed structure of RbHg.

extended XYZ file:
```
32
Lattice="6.9790 0.0000 0.0000 0.0000 18.4688 0.0000 0.0000 0.0000 11.0663" Properties=species:S:1:pos:R:3 pbc="T T T"
Rb 0.0000 0.0000 7.4402
Rb 0.0000 0.0000 3.6262
Rb 1.7448 13.8516 6.3927
Rb 1.7448 13.8516 10.2068
Rb 0.0000 9.2344 1.9070
Rb 0.0000 9.2344 9.1593
Rb 1.7448 4.6172 0.8596
Rb 1.7448 4.6172 4.6736
Rb 3.4895 0.0000 1.9070
Rb 3.4895 0.0000 9.1593
Rb 5.2343 13.8516 0.8596
Rb 5.2343 13.8516 4.6736
Rb 3.4895 9.2344 7.4402
Rb 3.4895 9.2344 3.6262
Rb 5.2343 4.6172 6.3927
Rb 5.2343 4.6172 10.2068
Hg 0.0000 1.5090 0.0000
Hg 0.0000 16.9597 0.0000
Hg 1.7448 12.3426 2.7666
Hg 1.7448 15.3606 2.7666
Hg 0.0000 10.7434 5.5332
Hg 0.0000 7.7254 5.5332
Hg 1.7448 3.1082 8.2998
Hg 1.7448 6.1262 8.2998
Hg 3.4895 1.5090 5.5332
Hg 3.4895 16.9597 5.5332
Hg 5.2343 12.3426 8.2998
Hg 5.2343 15.3606 8.2998
Hg 3.4895 10.7434 0.0000
Hg 3.4895 7.7254 0.0000
Hg 5.2343 3.1082 2.7666
Hg 5.2343 6.1262 2.7666
```

- magnetization (μB per atom) = 0.000
- E_form (eV per atom) = -0.159
- calculated volume (Å³ per atom) = 44.575
- E_tot (eV for the cell shown) = -25.40

Entry 22:
VASP calculation (PBE-GGA) on a relaxed structure of BaAg2H.

extended XYZ file:
```
8
Lattice="6.2983 0.0000 0.0000 0.0000 6.2983 0.0000 3.1492 3.1492 4.4838" Properties=species:S:1:pos:R:3 pbc="T T T"
H 3.1492 3.1492 0.0000
H 3.1492 6.2983 2.2419
Ba 0.0000 0.0000 0.0000
Ba 6.2983 3.1492 2.2419
Ag 3.1498 1.5746 1.1210
Ag 3.1486 4.7237 1.1210
Ag 4.7237 6.2977 3.3629
Ag 7.8729 6.2989 3.3629
```

- magnetization (μB per atom) = 0.000
- calculated volume (Å³ per atom) = 22.234
- excess energy over the best structure of this formula in the dataset (eV/atom) = 0.0000
- E_tot (eV for the cell shown) = -21.43

Entry 23:
VASP calculation (PBE-GGA) on a relaxed structure of SiHgRh2.

extended XYZ file:
```
4
Lattice="-4.4726 -0.2958 2.2930 -3.9017 -0.8293 -3.0722 4.5183 -2.1112 0.6907" Properties=species:S:1:pos:R:3 pbc="T T T"
Hg -2.0707 -1.4847 1.2970
Rh 0.0000 0.0000 0.0000
Rh -1.7852 -1.7515 -1.3856
Si -4.1871 -0.5625 -0.3896
```

- formation energy without anion corrections (eV/atom) = 0.1338
- magnetization (μB per atom) = 0.000
- calculated volume (Å³ per atom) = 15.590
- excess energy over the best structure of this formula in the dataset (eV/atom) = 0.6082
- E_tot (eV for the cell shown) = -19.89